(1)
# La2TlH12Rh3

Crystalline La2TlH12Rh3 at its relaxed geometry (PBE-GGA, the Alexandria database).

Computed properties:
Crystal system   trigonal
Spin magnetization   0.000 μB/f.u.
Raw total energy   -0.159 hartree per atom

```
La2TlH12Rh3
1.0
6.540 0.188 0.134
3.394 5.594 0.134
3.394 1.976 5.235
H Rh Tl La
12 3 1 2
Cartesian
5.897 5.411 1.742
5.710 5.303 3.761
10.171 4.494 4.699
3.157 3.265 0.803
10.171 5.921 2.687
7.618 2.455 1.742
7.431 2.347 3.761
8.931 6.625 4.699
3.157 1.837 2.815
5.897 3.433 4.531
7.431 4.325 0.971
4.398 1.133 0.803
3.270 0.094 0.067
1.697 2.797 0.067
1.697 0.988 2.618
0.000 0.000 0.000
5.217 3.037 2.154
8.111 4.721 3.349
```

(2)
# LaTlH8Rh2

Crystalline LaTlH8Rh2 at its relaxed geometry (PBE-GGA, the Alexandria database).

Computed properties:
Crystal system   trigonal
Spin magnetization   0.000 μB/f.u.
Raw total energy   -0.153 hartree per atom

```
LaTlH8Rh2
1.0
-2.021 -4.639 0.956
2.880 -3.660 2.197
-1.370 -0.986 6.190
H Rh Tl La
8 2 1 1
Cartesian
-0.390 -2.040 3.148
1.432 -5.642 3.352
0.199 -4.092 2.417
-0.710 -5.193 6.925
0.141 -3.216 6.514
-0.652 -6.069 2.828
-1.944 -3.642 5.990
-0.121 -7.245 6.194
0.104 -2.570 1.618
-0.615 -6.715 7.724
0.000 0.000 0.000
-0.256 -4.642 4.671
```

(3)
# La2TlHRh

Crystalline La2TlHRh at its relaxed geometry (PBE-GGA, the Alexandria database).

Computed properties:
Crystal system   tetragonal
Spin magnetization   0.000 μB/f.u.
Raw total energy   -0.186 hartree per atom

```
La2TlHRh
1.0
5.408 0.000 0.000
0.000 5.408 0.000
0.000 0.000 3.816
Rh H La Tl
1 1 2 1
Cartesian
0.000 0.000 1.908
0.000 0.000 0.000
2.704 0.000 0.000
0.000 2.704 0.000
2.704 2.704 1.908
```

(4)
# LaTlH6Rh2

Crystalline LaTlH6Rh2 at its relaxed geometry (PBE-GGA, the Alexandria database).

Computed properties:
Crystal system   monoclinic
Spin magnetization   0.000 μB/f.u.
Raw total energy   -0.164 hartree per atom

```
LaTlH6Rh2
1.0
-2.041 -2.789 -6.457
6.779 -1.299 2.449
-1.537 -3.882 2.172
H Rh Tl La
12 4 2 2
Cartesian
1.373 -1.219 -1.184
2.440 -2.539 -0.300
0.761 -5.432 -1.536
2.569 -4.815 -1.766
3.197 -3.209 -0.938
-1.795 -4.323 -1.316
2.737 -1.745 1.399
0.464 -6.225 -3.235
4.997 -3.648 -0.520
0.004 -4.762 -0.898
0.632 -3.155 -0.070
1.828 -6.752 -0.652
-0.953 -3.875 0.038
1.348 -1.675 0.500
4.154 -4.095 -1.874
1.853 -6.296 -2.336
5.359 -2.444 1.947
-2.158 -5.526 -3.783
0.514 -3.263 -2.946
2.687 -4.707 1.110
```

(5)
# LaTmH8Rh2

Crystalline LaTmH8Rh2 at its relaxed geometry (PBE-GGA, the Alexandria database).

Computed properties:
Crystal system   trigonal
Spin magnetization   0.000 μB/f.u.
Raw total energy   -0.168 hartree per atom

```
LaTmH8Rh2
1.0
4.896 0.000 0.000
2.448 4.240 0.000
2.448 1.413 6.025
Rh La H Tm
2 1 8 1
Cartesian
2.448 1.413 1.103
7.344 4.240 4.922
4.896 2.827 3.012
2.448 1.413 2.715
4.372 4.045 1.068
4.102 1.764 1.068
5.420 1.608 4.957
5.689 3.890 4.957
6.213 2.671 1.068
3.579 2.982 4.957
7.344 4.240 3.309
0.000 0.000 0.000
```

(6)
# LaYH8Rh2

Crystalline LaYH8Rh2 at its relaxed geometry (PBE-GGA, the Alexandria database).

Computed properties:
Crystal system   trigonal
Spin magnetization   0.000 μB/f.u.
Raw total energy   -0.174 hartree per atom

```
LaYH8Rh2
1.0
-2.016 -3.555 2.757
-1.713 -4.101 -2.133
4.172 -5.139 0.832
H Rh Y La
8 2 1 1
Cartesian
-1.562 -5.894 -0.729
-2.031 -6.357 1.422
-1.039 -4.412 0.880
1.482 -8.383 0.576
1.215 -3.726 0.491
2.004 -6.901 2.185
2.473 -6.438 0.034
-0.773 -9.068 0.965
0.675 -9.760 1.132
-0.233 -3.035 0.324
0.000 0.000 0.000
0.221 -6.397 0.728
```

(7)
# La2YH12Rh3

Crystalline La2YH12Rh3 at its relaxed geometry (PBE-GGA, the Alexandria database).

Computed properties:
Crystal system   trigonal
Spin magnetization   0.751 μB/f.u.
Raw total energy   -0.176 hartree per atom

```
La2YH12Rh3
1.0
6.132 -0.282 -0.200
2.783 5.471 -0.200
2.783 1.620 5.230
H Rh La Y
12 3 2 1
Cartesian
8.885 5.172 1.797
4.349 0.766 0.543
5.047 5.225 1.282
2.814 1.638 3.033
7.350 6.044 4.287
7.036 1.808 1.282
8.885 3.406 4.287
5.047 2.938 4.508
2.814 3.404 0.543
6.652 1.584 3.548
4.663 5.002 3.548
6.652 3.872 0.323
3.066 -0.141 -0.100
1.392 2.736 -0.100
1.392 0.810 2.615
4.508 2.624 1.861
7.191 4.186 2.969
0.000 0.000 0.000
```

(8)
# LaZnH8Rh4

Crystalline LaZnH8Rh4 at its relaxed geometry (PBE-GGA, the Alexandria database).

Computed properties:
Crystal system   trigonal
Spin magnetization   0.000 μB/f.u.
Raw total energy   -0.172 hartree per atom

```
LaZnH8Rh4
1.0
-2.348 -5.071 -1.468
0.251 -1.823 -5.477
3.271 -4.390 -1.436
Rh H Zn La
4 8 1 1
Cartesian
-0.995 -4.808 -4.541
1.571 -2.141 -0.717
0.379 -4.714 -1.461
1.698 -3.066 -3.496
0.657 -4.136 -4.688
-0.337 -6.284 -5.310
0.218 -7.758 -3.503
-0.444 -5.512 -2.990
1.867 -5.697 -6.046
0.655 -3.012 -2.015
0.703 -8.370 -6.325
1.707 -4.541 -2.572
-2.005 -6.942 -6.924
1.962 -6.366 -3.886
```

(9)
# LaZnHRh2

Crystalline LaZnHRh2 at its relaxed geometry (PBE-GGA, the Alexandria database).

Computed properties:
Crystal system   orthorhombic
Spin magnetization   0.000 μB/f.u.
Raw total energy   -0.197 hartree per atom

```
LaZnHRh2
1.0
-2.259 1.822 -2.694
3.332 -4.130 -2.676
-5.211 -4.892 1.061
La Rh Zn H
2 4 2 2
Cartesian
-1.993 -6.468 -2.703
-2.145 -0.732 -1.607
-4.322 -5.706 -0.235
-2.017 -3.560 -3.627
0.184 -1.494 -4.075
-2.121 -3.639 -0.683
-4.112 -4.111 -2.243
-0.026 -3.089 -2.067
-2.606 -2.446 0.530
0.000 0.000 0.000
```

(10)
# La2ZnH12Rh3

Crystalline La2ZnH12Rh3 at its relaxed geometry (PBE-GGA, the Alexandria database).

Computed properties:
Crystal system   trigonal
Spin magnetization   0.000 μB/f.u.
Raw total energy   -0.160 hartree per atom

```
La2ZnH12Rh3
1.0
-4.353 -0.934 -4.035
-3.119 -5.099 0.614
-5.633 0.576 2.012
Rh H La Zn
3 12 2 1
Cartesian
-2.816 0.288 1.006
-2.177 -0.467 -2.017
-1.559 -2.550 0.307
-6.408 -3.152 1.271
-10.044 -2.160 -1.586
-3.718 -1.080 -2.299
-4.399 -0.276 0.921
-8.706 -5.182 -2.330
-3.060 -3.298 0.176
-7.399 -1.476 0.643
-7.087 -0.863 -1.284
-6.696 -2.306 -2.680
-5.705 -3.982 -2.052
-9.387 -4.378 0.890
-6.018 -4.595 -0.126
-4.955 -2.064 -0.533
-8.150 -3.394 -0.876
0.000 0.000 0.000
```

(11)
# La2ZnHRh

Crystalline La2ZnHRh at its relaxed geometry (PBE-GGA, the Alexandria database).

Computed properties:
Crystal system   tetragonal
Spin magnetization   0.000 μB/f.u.
Raw total energy   -0.179 hartree per atom

```
La2ZnHRh
1.0
-1.678 4.565 -2.010
-4.958 -1.757 0.148
-0.382 1.364 3.418
Rh Zn La H
1 1 2 1
Cartesian
-0.191 0.682 1.709
-3.509 2.086 0.778
-0.839 2.283 -1.005
-2.479 -0.879 0.074
0.000 0.000 0.000
```

(12)
# LaZrH2Rh

Crystalline LaZrH2Rh at its relaxed geometry (PBE-GGA, the Alexandria database).

Computed properties:
Crystal system   tetragonal
Spin magnetization   0.000 μB/f.u.
Raw total energy   -0.214 hartree per atom

```
LaZrH2Rh
1.0
4.071 0.000 0.000
0.000 5.273 0.000
0.000 0.000 4.071
Rh La H Zr
1 1 2 1
Cartesian
0.000 2.637 0.000
2.036 2.637 2.036
0.000 0.000 2.036
2.036 0.000 0.000
0.000 0.000 0.000
```

(13)
# LaHRu

Crystalline LaHRu at its relaxed geometry (PBE-GGA, the Alexandria database).

Computed properties:
Crystal system   hexagonal
E above lowest polymorph   267.2 meV/atom
Spin magnetization   0.000 μB/f.u.

```
LaHRu
1.0
4.126 0.000 0.000
0.000 3.692 0.000
0.000 -1.846 3.197
H Ru La
1 1 1
Cartesian
0.690 1.846 1.066
0.687 0.000 0.000
2.749 0.000 2.131
```

(14)
# LaHRu3

Crystalline LaHRu3 at its relaxed geometry (PBE-GGA, the Alexandria database).

Computed properties:
Crystal system   cubic
E above lowest polymorph   2236.0 meV/atom
Spin magnetization   5.057 μB/f.u.

```
LaHRu3
1.0
-4.574 0.963 1.467
-0.630 -4.724 1.138
1.638 0.874 4.534
Ru La H
3 1 1
Cartesian
0.819 0.437 2.267
-0.315 -2.362 0.569
-2.287 0.482 0.733
0.000 0.000 0.000
-1.783 -1.443 3.570
```

(15)
# La3H12Ru5

Crystalline La3H12Ru5 at its relaxed geometry (PBE-GGA, the Alexandria database).

Computed properties:
Crystal system   cubic
Spin magnetization   0.000 μB/f.u.
Raw total energy   -0.193 hartree per atom

```
La3H12Ru5
1.0
10.261 0.000 0.000
-3.420 9.674 0.000
-3.420 -4.837 8.378
H La Ru
48 12 20
Cartesian
-2.532 8.328 0.757
0.280 6.340 5.692
5.275 8.824 0.042
0.145 2.880 3.474
-0.280 0.843 1.544
4.242 1.346 0.757
1.990 1.503 2.687
-0.754 3.515 0.715
6.696 0.850 0.042
-1.855 -3.987 8.336
-0.822 3.491 7.621
2.599 3.747 3.402
4.174 -1.280 7.591
4.242 7.238 2.645
6.561 0.660 4.147
2.464 6.159 0.715
6.986 -2.030 4.946
-0.956 -0.042 6.876
1.431 3.334 5.692
7.594 4.795 1.503
-1.855 2.030 4.946
-0.888 5.927 3.402
5.410 -0.843 1.544
-3.565 6.867 3.432
-1.431 -0.660 4.147
5.275 2.807 3.432
-3.275 3.987 8.336
1.565 6.795 3.474
3.275 1.957 4.904
2.464 3.557 0.787
-4.309 2.401 5.733
-0.754 6.117 0.787
4.377 4.879 1.503
3.141 -1.503 2.687
7.729 2.436 2.645
-0.822 -2.401 5.733
1.855 -1.957 4.904
4.851 5.497 4.231
-3.141 4.178 4.231
0.822 1.090 4.976
-4.174 0.042 6.876
0.956 -1.322 7.663
0.956 1.280 7.591
3.700 3.994 6.834
4.309 -1.090 4.976
4.174 1.322 7.663
-1.990 5.680 6.834
5.952 -3.491 7.621
-2.565 1.814 7.331
5.986 3.023 1.047
2.565 0.000 6.284
2.565 5.442 5.236
-0.855 4.232 5.236
0.855 4.837 2.095
-4.275 4.837 6.284
-2.565 -1.814 7.331
4.275 0.605 3.142
7.696 0.000 2.095
5.986 6.651 1.047
0.855 -0.605 3.142
-0.855 2.419 2.095
-1.710 -2.419 4.189
2.565 1.814 1.047
3.420 -2.419 4.189
0.000 0.000 0.000
3.420 4.837 0.000
-1.710 4.837 0.000
-3.420 2.419 4.189
-0.855 7.860 1.047
0.855 -2.419 6.284
4.275 4.232 3.142
4.275 -3.023 7.331
1.710 2.419 4.189
-2.565 5.442 3.142
-0.855 0.605 5.236
5.131 0.000 0.000
2.565 7.256 2.095
4.275 2.419 6.284
5.986 -0.605 5.236
0.855 3.023 7.331
```

(16)
# LaH3Ru

Crystalline LaH3Ru at its relaxed geometry (PBE-GGA, the Alexandria database).

Computed properties:
Crystal system   cubic
Spin magnetization   2.217 μB/f.u.
Raw total energy   -0.149 hartree per atom

```
LaH3Ru
1.0
4.263 0.000 0.000
0.000 4.263 0.000
0.000 0.000 4.263
H La Ru
3 1 1
Cartesian
0.000 0.000 2.132
2.132 0.000 0.000
0.000 2.132 0.000
0.000 0.000 0.000
2.132 2.132 2.132
```

(17)
# LaH3Ru

Crystalline LaH3Ru at its relaxed geometry (PBE-GGA, the Alexandria database).

Computed properties:
Crystal system   cubic
Spin magnetization   0.000 μB/f.u.
Raw total energy   -0.195 hartree per atom

```
LaH3Ru
1.0
3.774 0.000 0.000
0.000 3.774 0.000
0.000 0.000 3.774
H La Ru
3 1 1
Cartesian
0.000 0.000 1.887
1.887 0.000 0.000
0.000 1.887 0.000
1.887 1.887 1.887
0.000 0.000 0.000
```

(18)
# LaHRu

Crystalline LaHRu at its relaxed geometry (PBE-GGA, the Alexandria database).

Computed properties:
Crystal system   orthorhombic
E above lowest polymorph   0.0 meV/atom
Spin magnetization   0.000 μB/f.u.

```
LaHRu
1.0
7.033 0.000 0.000
0.000 4.312 0.000
0.000 0.000 15.776
H Ru La
8 8 8
Cartesian
5.275 3.234 12.500
1.758 3.234 4.612
1.758 1.078 3.276
5.275 3.235 3.289
5.275 1.079 4.599
1.758 1.078 12.487
1.758 3.234 11.177
5.275 1.078 11.164
6.573 1.078 7.746
0.459 3.234 8.031
3.057 3.234 8.031
3.976 1.078 7.746
6.573 3.234 0.143
0.459 1.078 15.634
3.057 1.078 15.634
3.976 3.234 0.143
1.758 3.234 13.587
5.275 1.079 2.190
5.275 3.234 10.028
1.758 1.078 10.078
1.758 1.078 5.748
1.758 3.234 2.140
5.275 3.235 5.698
5.275 1.078 13.636
```